1.
Material: Mn2Cd2FeO6
Method: DFT, PBE+U
State: relaxed

Output
* space group: No. 12
* total DFT energy (no corrections): -66.663 eV/cell

```
Mn2Cd2FeO6
1.0
-2.920 -3.514 -2.847
3.252 -2.125 3.727
-4.073 2.339 3.330
Mn Cd Fe O
2 2 1 6
Cartesian
-0.879 -1.427 3.161
-2.862 -1.873 1.049
-1.855 -3.275 -1.713
2.187 -2.365 2.592
-2.037 1.170 1.665
-2.571 -2.449 2.931
-1.694 0.797 3.765
-1.170 -0.852 1.279
-3.978 0.283 1.333
-2.047 -4.098 0.445
0.237 -3.584 2.877
```

=====

2.
Material: Mn2CdFeO4
Method: DFT, PBE+U
State: relaxed

Output
* space group: No. 2
* total DFT energy (no corrections): -104.705 eV/cell

```
Mn2CdFeO4
1.0
-3.276 -1.164 -5.463
-0.112 -6.307 1.343
-2.232 4.270 4.286
Mn Cd Fe O
4 2 2 8
Cartesian
-3.981 -2.620 2.897
-2.865 -4.754 0.754
-4.503 -5.337 -1.978
-1.694 -3.736 -2.060
-0.056 -3.154 0.671
-4.447 -2.183 -2.649
-2.810 -1.601 0.083
-5.619 -3.202 0.165
-0.994 -5.044 -0.384
-3.474 -0.351 -1.519
-2.145 -2.851 1.684
-4.625 1.842 0.549
-2.546 -5.606 -3.005
-3.753 -3.523 -0.860
-1.866 0.321 1.025
-3.073 2.404 3.171
```

=====

3.
Material: MnCd2FeO4
Method: DFT, PBE+U
State: relaxed

Output
* space group: No. 15
* total DFT energy (no corrections): -89.316 eV/cell

```
MnCd2FeO4
1.0
-0.368 -3.945 5.251
-3.964 -4.055 -3.334
5.804 1.679 -2.452
Mn Cd Fe O
2 4 2 8
Cartesian
-1.982 -2.027 -1.667
0.552 -5.133 2.358
-0.184 -1.973 2.626
-1.246 -5.188 -1.935
2.534 -3.106 4.025
3.637 -2.321 -1.494
0.736 -3.161 -0.268
1.839 -2.376 -5.786
2.703 -2.260 -3.661
1.646 -3.223 1.841
-0.175 -3.098 -2.376
-1.231 -4.062 3.125
2.438 -4.274 -0.900
-0.184 -5.207 0.210
1.655 -1.115 -0.745
-0.966 -2.048 0.365
```

=====

Repeat the first record exactly.
Material: Mn2Cd2FeO6
Method: DFT, PBE+U
State: relaxed

Output
* space group: No. 12
* total DFT energy (no corrections): -66.663 eV/cell

```
Mn2Cd2FeO6
1.0
-2.920 -3.514 -2.847
3.252 -2.125 3.727
-4.073 2.339 3.330
Mn Cd Fe O
2 2 1 6
Cartesian
-0.879 -1.427 3.161
-2.862 -1.873 1.049
-1.855 -3.275 -1.713
2.187 -2.365 2.592
-2.037 1.170 1.665
-2.571 -2.449 2.931
-1.694 0.797 3.765
-1.170 -0.852 1.279
-3.978 0.283 1.333
-2.047 -4.098 0.445
0.237 -3.584 2.877
```

=====

- The highest total DFT energy (no corrections) belongs to which entry?
  Mn2Cd2FeO6

=====

- What is the total DFT energy (no corrections) in the second record?
  -104.705 eV/cell

=====

- total DFT energy (no corrections) of number 3 (MnCd2FeO4)?
  -89.316 eV/cell